# 1
# MgMnSi2 PBE relaxed
# - ΔE_f (raw) (eV per atom) = 0.072
# - symmetry = No. 38
# - density (g cm⁻³) = 3.6
# - volume (Å³ per atom) = 15.60
# - VASP energy (eV per atom) = -5.331
data_MgMnSi2
_space_group_name_H-M_alt 'P 1'
_space_group_IT_number 1
_cell_length_a 3.857
_cell_length_b 6.069
_cell_length_c 6.069
_cell_angle_alpha 26.04
_cell_angle_beta 90.00
_cell_angle_gamma 90.00
loop_
_space_group_symop_operation_xyz
'x,y,z'
loop_
_atom_site_label
_atom_site_fract_x
_atom_site_fract_y
_atom_site_fract_z
_atom_site_occupancy
Mg1 0.000 0.000 0.000 1
Mn1 0.500 0.697 0.697 1
Si1 0.000 0.223 0.223 1
Si2 0.500 0.372 0.372 1

# 2
# TlSn PBE relaxed
# - symmetry = No. 71
# - density (g cm⁻³) = 9.1
# - volume (Å³ per atom) = 29.53
# - VASP energy (eV per atom) = -3.053
# - calculated formation energy (eV per atom) = 0.132
data_TlSn
_space_group_name_H-M_alt 'P 1'
_space_group_IT_number 1
_cell_length_a 4.550
_cell_length_b 4.550
_cell_length_c 4.550
_cell_angle_alpha 137.34
_cell_angle_beta 103.38
_cell_angle_gamma 91.91
loop_
_space_group_symop_operation_xyz
'x,y,z'
loop_
_atom_site_label
_atom_site_fract_x
_atom_site_fract_y
_atom_site_fract_z
_atom_site_occupancy
Tl1 0.000 0.000 0.000 1
Sn1 0.500 0.500 0.000 1

# 3
# SrAcNiHg PBE relaxed
# - symmetry = No. 216
# - density (g cm⁻³) = 8.3
# - volume (Å³ per atom) = 28.80
# - VASP energy (eV per atom) = -3.157
# - calculated formation energy (eV per atom) = -0.188
data_SrAcNiHg
_space_group_name_H-M_alt 'P 1'
_space_group_IT_number 1
_cell_length_a 5.462
_cell_length_b 5.462
_cell_length_c 5.462
_cell_angle_alpha 60.00
_cell_angle_beta 60.00
_cell_angle_gamma 60.00
loop_
_space_group_symop_operation_xyz
'x,y,z'
loop_
_atom_site_label
_atom_site_fract_x
_atom_site_fract_y
_atom_site_fract_z
_atom_site_occupancy
Sr1 0.000 0.000 0.000 1
Ac1 0.500 0.500 0.500 1
Ni1 0.750 0.750 0.750 1
Hg1 0.250 0.250 0.250 1

# 4
# AcAgC2O6 PBE relaxed
# - ΔE_f (raw) (eV per atom) = -1.813
# - symmetry = No. 15
# - density (g cm⁻³) = 4.9
# - volume (Å³ per atom) = 15.51
# - VASP energy (eV per atom) = -7.329
data_AcAgC2O6
_space_group_name_H-M_alt 'P 1'
_space_group_IT_number 1
_cell_length_a 6.883
_cell_length_b 6.883
_cell_length_c 7.888
_cell_angle_alpha 114.17
_cell_angle_beta 114.17
_cell_angle_gamma 84.05
loop_
_space_group_symop_operation_xyz
'x,y,z'
loop_
_atom_site_label
_atom_site_fract_x
_atom_site_fract_y
_atom_site_fract_z
_atom_site_occupancy
Ac1 0.101 0.899 0.750 1
Ac2 0.899 0.101 0.250 1
Ag1 0.431 0.569 0.250 1
Ag2 0.569 0.431 0.750 1
C1 0.126 0.374 0.795 1
C2 0.374 0.126 0.295 1
C3 0.626 0.874 0.705 1
C4 0.874 0.626 0.205 1
O1 0.003 0.215 0.632 1
O2 0.149 0.554 0.792 1
O3 0.215 0.003 0.132 1
O4 0.225 0.332 0.956 1
O5 0.332 0.225 0.456 1
O6 0.446 0.851 0.708 1
O7 0.554 0.149 0.292 1
O8 0.668 0.775 0.544 1
O9 0.775 0.668 0.044 1
O10 0.785 0.997 0.868 1
O11 0.851 0.446 0.208 1
O12 0.997 0.785 0.368 1

# 5
# Ce6SbRu2 PBE relaxed
# - ΔE_f (raw) (eV per atom) = -0.432
# - symmetry = No. 12
# - density (g cm⁻³) = 8.7
# - volume (Å³ per atom) = 24.69
# - VASP energy (eV per atom) = -6.907
data_Ce6SbRu2
_space_group_name_H-M_alt 'P 1'
_space_group_IT_number 1
_cell_length_a 5.817
_cell_length_b 5.817
_cell_length_c 8.928
_cell_angle_alpha 92.16
_cell_angle_beta 92.16
_cell_angle_gamma 47.42
loop_
_space_group_symop_operation_xyz
'x,y,z'
loop_
_atom_site_label
_atom_site_fract_x
_atom_site_fract_y
_atom_site_fract_z
_atom_site_occupancy
Ce1 0.079 0.079 0.360 1
Ce2 0.290 0.290 0.892 1
Ce3 0.410 0.410 0.323 1
Ce4 0.590 0.590 0.677 1
Ce5 0.710 0.710 0.108 1
Ce6 0.921 0.921 0.640 1
Sb1 0.000 0.000 0.000 1
Ru1 0.257 0.257 0.619 1
Ru2 0.743 0.743 0.381 1

# 6
# LiTe2Br PBE relaxed
# - ΔE_f (raw) (eV per atom) = -0.385
# - symmetry = No. 139
# - density (g cm⁻³) = 5.0
# - volume (Å³ per atom) = 28.66
# - VASP energy (eV per atom) = -2.852
data_LiTe2Br
_space_group_name_H-M_alt 'P 1'
_space_group_IT_number 1
_cell_length_a 5.301
_cell_length_b 5.301
_cell_length_c 5.301
_cell_angle_alpha 108.81
_cell_angle_beta 108.81
_cell_angle_gamma 110.81
loop_
_space_group_symop_operation_xyz
'x,y,z'
loop_
_atom_site_label
_atom_site_fract_x
_atom_site_fract_y
_atom_site_fract_z
_atom_site_occupancy
Li1 0.000 0.000 0.000 1
Te1 0.000 0.500 0.500 1
Te2 0.500 0.000 0.500 1
Br1 0.500 0.500 0.000 1

# 7
# HfTe2CI PBE relaxed
# - ΔE_f (raw) (eV per atom) = 1.188
# - symmetry = No. 123
# - density (g cm⁻³) = 5.4
# - volume (Å³ per atom) = 35.12
# - VASP energy (eV per atom) = -4.214
data_HfTe2CI
_space_group_name_H-M_alt 'P 1'
_space_group_IT_number 1
_cell_length_a 5.560
_cell_length_b 5.560
_cell_length_c 5.679
_cell_angle_alpha 90.00
_cell_angle_beta 90.00
_cell_angle_gamma 90.00
loop_
_space_group_symop_operation_xyz
'x,y,z'
loop_
_atom_site_label
_atom_site_fract_x
_atom_site_fract_y
_atom_site_fract_z
_atom_site_occupancy
Hf1 0.000 0.000 0.000 1
Te1 0.000 0.500 0.000 1
Te2 0.500 0.000 0.000 1
C1 0.500 0.500 0.500 1
I1 0.000 0.000 0.500 1

# 8
# ZrAlSn3 PBE relaxed
# - symmetry = No. 221
# - density (g cm⁻³) = 4.6
# - volume (Å³ per atom) = 34.15
# - VASP energy (eV per atom) = -4.400
# - calculated formation energy (eV per atom) = 0.460
data_ZrAlSn3
_space_group_name_H-M_alt 'P 1'
_space_group_IT_number 1
_cell_length_a 5.548
_cell_length_b 5.548
_cell_length_c 5.548
_cell_angle_alpha 90.00
_cell_angle_beta 90.00
_cell_angle_gamma 90.00
loop_
_space_group_symop_operation_xyz
'x,y,z'
loop_
_atom_site_label
_atom_site_fract_x
_atom_site_fract_y
_atom_site_fract_z
_atom_site_occupancy
Zr1 0.000 0.000 0.000 1
Al1 0.500 0.500 0.500 1
Sn1 0.000 0.000 0.500 1
Sn2 0.000 0.500 0.000 1
Sn3 0.500 0.000 0.000 1

The lowest VASP energy belongs to which entry?
AcAgC2O6

Please write out number 7 again, unchanged.
# HfTe2CI PBE relaxed
# - ΔE_f (raw) (eV per atom) = 1.188
# - symmetry = No. 123
# - density (g cm⁻³) = 5.4
# - volume (Å³ per atom) = 35.12
# - VASP energy (eV per atom) = -4.214
data_HfTe2CI
_space_group_name_H-M_alt 'P 1'
_space_group_IT_number 1
_cell_length_a 5.560
_cell_length_b 5.560
_cell_length_c 5.679
_cell_angle_alpha 90.00
_cell_angle_beta 90.00
_cell_angle_gamma 90.00
loop_
_space_group_symop_operation_xyz
'x,y,z'
loop_
_atom_site_label
_atom_site_fract_x
_atom_site_fract_y
_atom_site_fract_z
_atom_site_occupancy
Hf1 0.000 0.000 0.000 1
Te1 0.000 0.500 0.000 1
Te2 0.500 0.000 0.000 1
C1 0.500 0.500 0.500 1
I1 0.000 0.000 0.500 1